## RbTl2Cr (GGA-PBEsol)

Data for RbTl2Cr after structural relaxation.

Structure (POSCAR):
```
RbTl2Cr
1.0
5.384 0.000 0.000
2.692 4.663 0.000
2.692 1.554 4.396
Tl Rb Cr
2 1 1
direct
0.250 0.250 0.250
0.750 0.750 0.750
0.500 0.500 0.500
0.000 0.000 0.000
```

## Properties
For the energy relative to the elements, the calculation gives 2.39 eV/f.u. For the total magnetization, the calculation gives 4.47 Bohr magnetons per cell. Its density of states at the Fermi level is 0.627 states/eV per atom. For the total DFT energy (no corrections), the calculation gives -14.1 eV per formula unit.


## Rb3CrW (GGA-PBEsol)

Data for Rb3CrW after structural relaxation.

Structure (POSCAR):
```
Rb3CrW
1.0
-1.382 1.453 -6.307
-3.685 -5.479 -0.455
-5.321 3.417 1.954
Rb W Cr
3 1 1
direct
0.000 0.500 0.000
0.000 0.000 0.500
0.500 0.000 0.000
0.500 0.500 0.500
0.000 0.000 0.000
```

## Properties
For the energy relative to the elements, the calculation gives 10.88 eV/f.u. For the total magnetization, the calculation gives 11.02 Bohr magnetons per cell. Its density of states at the Fermi level is 0.558 states/eV per atom. For the total DFT energy (no corrections), the calculation gives -16.2 eV per formula unit.


## RbZn3Cr (GGA-PBEsol)

Data for RbZn3Cr after structural relaxation.

Structure (POSCAR):
```
RbZn3Cr
1.0
-0.692 -5.407 2.225
5.837 -0.767 -0.049
0.335 2.200 5.451
Zn Cr Rb
3 1 1
direct
0.000 0.500 0.000
0.000 0.000 0.500
0.500 0.000 0.000
0.500 0.500 0.500
0.000 0.000 0.000
```

## Properties
For the energy relative to the elements, the calculation gives 8.16 eV/f.u. For the total magnetization, the calculation gives 5.32 Bohr magnetons per cell. Its density of states at the Fermi level is 0.329 states/eV per atom. For the total DFT energy (no corrections), the calculation gives -7.9 eV per formula unit.


## Cr2Re (GGA-PBEsol)

Data for Cr2Re after structural relaxation.

Structure (POSCAR):
```
Cr2Re
1.0
2.913 0.000 0.000
0.000 4.142 0.000
-1.456 0.000 6.150
Re Cr
2 4
direct
0.084 0.750 0.169
0.916 0.250 0.831
0.590 0.250 0.179
0.247 0.250 0.493
0.753 0.750 0.507
0.410 0.750 0.821
```

## Properties
For the energy relative to the elements, the calculation gives 0.11 eV/f.u. For the total magnetization, the calculation gives 0.00 Bohr magnetons per cell. Its density of states at the Fermi level is 1.035 states/eV per atom. For the total DFT energy (no corrections), the calculation gives -33.7 eV per formula unit.


## CrRe (GGA-PBEsol)

Data for CrRe after structural relaxation.

Structure (POSCAR):
```
CrRe
1.0
-0.859 -0.665 2.390
2.303 -3.420 -0.124
3.998 2.653 1.098
Re Cr
2 2
direct
0.139 0.750 0.365
0.861 0.250 0.635
0.598 0.750 0.886
0.402 0.250 0.114
```

## Properties
For the energy relative to the elements, the calculation gives 0.21 eV/f.u. For the total magnetization, the calculation gives 0.01 Bohr magnetons per cell. Its density of states at the Fermi level is 1.190 states/eV per atom. For the total DFT energy (no corrections), the calculation gives -23.4 eV per formula unit.


## CrRe (GGA-PBEsol)

Data for CrRe after structural relaxation.

Structure (POSCAR):
```
CrRe
1.0
2.730 0.000 0.000
-1.365 2.364 0.000
0.000 0.000 8.207
Re Cr
2 2
direct
0.667 0.333 0.867
0.333 0.667 0.133
0.333 0.667 0.599
0.667 0.333 0.401
```

## Properties
For the energy relative to the elements, the calculation gives 0.55 eV/f.u. For the total magnetization, the calculation gives 0.00 Bohr magnetons per cell. Its density of states at the Fermi level is 1.191 states/eV per atom. For the total DFT energy (no corrections), the calculation gives -23.0 eV per formula unit.


## CrRe2 (GGA-PBEsol)

Data for CrRe2 after structural relaxation.

Structure (POSCAR):
```
CrRe2
1.0
2.884 0.000 0.000
-1.442 4.652 0.009
0.000 -2.284 6.028
Re Cr
4 2
direct
0.164 0.328 0.101
0.518 0.037 0.734
0.482 0.963 0.266
0.836 0.672 0.899
0.824 0.648 0.441
0.176 0.352 0.559
```

## Properties
For the energy relative to the elements, the calculation gives 0.23 eV/f.u. For the total magnetization, the calculation gives 0.00 Bohr magnetons per cell. Its density of states at the Fermi level is 0.942 states/eV per atom. For the total DFT energy (no corrections), the calculation gives -36.7 eV per formula unit.


## Cr4Re3 (GGA-PBEsol)

Data for Cr4Re3 after structural relaxation.

Structure (POSCAR):
```
Cr4Re3
1.0
-0.285 2.642 1.158
-2.836 -0.043 -0.599
-0.364 -5.634 9.140
Cr Re
4 3
direct
0.135 0.135 0.269
0.574 0.574 0.147
0.865 0.865 0.731
0.426 0.426 0.853
0.708 0.708 0.417
0.292 0.292 0.583
0.000 0.000 0.000
```

## Properties
For the energy relative to the elements, the calculation gives 0.29 eV/f.u. For the total magnetization, the calculation gives 0.00 Bohr magnetons per cell. Its density of states at the Fermi level is 0.966 states/eV per atom. For the total DFT energy (no corrections), the calculation gives -80.7 eV per formula unit.


## CrRe5 (GGA-PBEsol)

Data for CrRe5 after structural relaxation.

Structure (POSCAR):
```
CrRe5
1.0
-1.478 1.545 -1.701
2.077 -3.709 -2.979
-5.401 -2.612 2.320
Re Cr
5 1
direct
0.664 0.328 0.329
0.391 0.782 0.271
0.055 0.111 0.614
0.337 0.674 0.672
0.719 0.438 0.945
0.000 0.000 0.002
```

## Properties
For the energy relative to the elements, the calculation gives 0.62 eV/f.u. For the total magnetization, the calculation gives 0.00 Bohr magnetons per cell. The calculation puts the polymorph energy (0 for the lowest one) at 4 meV per atom. Its density of states at the Fermi level is 1.110 states/eV per atom. For the total DFT energy (no corrections), the calculation gives -76.3 eV per formula unit.


## CrRe (GGA-PBEsol)

Data for CrRe after structural relaxation.

Structure (POSCAR):
```
CrRe
1.0
-1.452 2.497 -0.538
-3.473 -2.199 -0.828
1.358 0.077 4.720
Cr Re
2 2
direct
0.140 0.890 0.279
0.860 0.110 0.721
0.616 0.366 0.233
0.384 0.634 0.767
```

## Properties
For the energy relative to the elements, the calculation gives 0.10 eV/f.u. For the total magnetization, the calculation gives 0.00 Bohr magnetons per cell. Its density of states at the Fermi level is 0.893 states/eV per atom. For the total DFT energy (no corrections), the calculation gives -23.5 eV per formula unit.


## CrRe (GGA-PBEsol)

Data for CrRe after structural relaxation.

Structure (POSCAR):
```
CrRe
1.0
2.924 0.000 0.000
-1.462 4.726 0.011
0.000 -1.844 5.617
Re Cr
3 3
direct
0.700 0.400 0.372
0.025 0.050 0.557
0.694 0.387 0.911
0.380 0.759 0.218
0.359 0.718 0.727
0.009 0.019 0.048
```

## Properties
For the energy relative to the elements, the calculation gives 0.12 eV/f.u. For the total magnetization, the calculation gives 0.00 Bohr magnetons per cell. Its density of states at the Fermi level is 0.815 states/eV per atom. For the total DFT energy (no corrections), the calculation gives -23.5 eV per formula unit.


## CrRe (GGA-PBEsol)

Data for CrRe after structural relaxation.

Structure (POSCAR):
```
CrRe
1.0
-1.846 -1.287 -1.843
1.072 -3.212 3.466
-4.527 3.628 2.001
Re Cr
3 3
direct
0.824 0.649 0.184
0.176 0.351 0.816
0.500 0.000 0.000
0.158 0.316 0.357
0.842 0.684 0.643
0.500 0.000 0.500
```

## Properties
For the energy relative to the elements, the calculation gives 0.14 eV/f.u. For the total magnetization, the calculation gives 0.00 Bohr magnetons per cell. Its density of states at the Fermi level is 0.972 states/eV per atom. For the total DFT energy (no corrections), the calculation gives -23.4 eV per formula unit.


## Cr2Re (GGA-PBEsol)

Data for Cr2Re after structural relaxation.

Structure (POSCAR):
```
Cr2Re
1.0
-1.695 1.970 1.272
1.604 -2.966 3.439
4.109 4.143 -0.939
Re Cr
2 4
direct
0.838 0.677 0.911
0.162 0.323 0.089
0.503 0.007 0.730
0.497 0.993 0.270
0.835 0.670 0.426
0.165 0.330 0.574
```

## Properties
For the energy relative to the elements, the calculation gives 0.12 eV/f.u. For the total magnetization, the calculation gives 0.00 Bohr magnetons per cell. Its density of states at the Fermi level is 1.022 states/eV per atom. For the total DFT energy (no corrections), the calculation gives -33.7 eV per formula unit.


## Cr5Re (GGA-PBEsol)

Data for Cr5Re after structural relaxation.

Structure (POSCAR):
```
Cr5Re
1.0
2.873 0.000 0.000
0.000 4.067 0.000
-1.436 0.000 6.058
Cr Re
5 1
direct
0.169 0.000 0.338
0.671 0.500 0.342
0.329 0.500 0.658
0.500 0.000 0.000
0.831 0.000 0.662
0.000 0.500 0.000
```

## Properties
For the energy relative to the elements, the calculation gives 0.16 eV/f.u. For the total magnetization, the calculation gives 0.00 Bohr magnetons per cell. The calculation puts the polymorph energy (0 for the lowest one) at 9 meV per atom. Its density of states at the Fermi level is 0.857 states/eV per atom. For the total DFT energy (no corrections), the calculation gives -64.4 eV per formula unit.


## Cr2Re (GGA-PBEsol)

Data for Cr2Re after structural relaxation.

Structure (POSCAR):
```
Cr2Re
1.0
-1.479 -3.966 1.853
7.938 -3.849 -1.901
3.174 2.574 8.046
Re Cr
10 20
direct
0.500 0.963 0.638
0.000 0.463 0.862
0.000 0.862 0.463
0.500 0.037 0.362
0.000 0.138 0.537
0.000 0.000 0.000
0.500 0.362 0.037
0.500 0.500 0.500
0.500 0.638 0.963
0.000 0.537 0.138
0.500 0.567 0.244
0.000 0.401 0.599
0.254 0.814 0.186
0.000 0.256 0.067
0.746 0.186 0.814
0.000 0.599 0.401
0.246 0.314 0.314
0.500 0.433 0.756
0.754 0.314 0.314
0.500 0.244 0.567
0.254 0.186 0.814
0.754 0.686 0.686
0.746 0.814 0.186
0.000 0.744 0.933
0.500 0.901 0.901
0.000 0.933 0.744
0.500 0.756 0.433
0.000 0.067 0.256
0.246 0.686 0.686
0.500 0.099 0.099
```

## Properties
For the energy relative to the elements, the calculation gives 0.20 eV/f.u. For the total magnetization, the calculation gives 0.00 Bohr magnetons per cell. Its density of states at the Fermi level is 1.195 states/eV per atom. For the total DFT energy (no corrections), the calculation gives -33.6 eV per formula unit.


## CrRe (GGA-PBEsol)

Data for CrRe after structural relaxation.

Structure (POSCAR):
```
CrRe
1.0
-2.126 1.890 -3.093
0.673 -1.112 -3.996
-2.950 -2.114 -2.118
Re Cr
2 2
direct
0.000 0.000 0.000
0.250 0.250 0.250
0.500 0.500 0.500
0.750 0.750 0.750
```

## Properties
For the energy relative to the elements, the calculation gives 0.20 eV/f.u. For the total magnetization, the calculation gives 0.01 Bohr magnetons per cell. Its density of states at the Fermi level is 1.193 states/eV per atom. For the total DFT energy (no corrections), the calculation gives -23.4 eV per formula unit.


## Cr2Re (GGA-PBEsol)

Data for Cr2Re after structural relaxation.

Structure (POSCAR):
```
Cr2Re
1.0
2.569 0.002 0.000
-0.894 2.408 0.000
-0.838 -1.205 6.075
Re Cr
1 2
direct
0.000 0.000 0.000
0.327 0.327 0.654
0.673 0.673 0.346
```

## Properties
For the energy relative to the elements, the calculation gives 0.32 eV/f.u. For the total magnetization, the calculation gives 0.00 Bohr magnetons per cell. Its density of states at the Fermi level is 1.040 states/eV per atom. For the total DFT energy (no corrections), the calculation gives -33.5 eV per formula unit.


## CrRe4 (GGA-PBEsol)

Data for CrRe4 after structural relaxation.

Structure (POSCAR):
```
CrRe4
1.0
-1.268 3.965 2.702
-6.480 -5.047 4.365
6.235 -2.413 6.466
Re Cr
24 6
direct
0.000 0.140 0.534
0.000 0.937 0.744
0.000 0.063 0.256
0.248 0.318 0.318
0.000 0.466 0.860
0.752 0.682 0.682
0.748 0.182 0.818
0.752 0.318 0.318
0.500 0.640 0.966
0.000 0.860 0.466
0.252 0.182 0.818
0.500 0.437 0.756
0.000 0.256 0.063
0.000 0.534 0.140
0.500 0.563 0.244
0.500 0.034 0.360
0.000 0.744 0.937
0.500 0.244 0.563
0.748 0.818 0.182
0.500 0.360 0.034
0.248 0.682 0.682
0.252 0.818 0.182
0.500 0.756 0.437
0.500 0.966 0.640
0.000 0.000 0.000
0.500 0.916 0.916
0.000 0.584 0.416
0.000 0.416 0.584
0.500 0.500 0.500
0.500 0.084 0.084
```

## Properties
For the energy relative to the elements, the calculation gives 0.48 eV/f.u. For the total magnetization, the calculation gives 0.00 Bohr magnetons per cell. Its density of states at the Fermi level is 0.980 states/eV per atom. For the total DFT energy (no corrections), the calculation gives -63.1 eV per formula unit.


## Cr5Re24 (GGA-PBEsol)

Data for Cr5Re24 after structural relaxation.

Structure (POSCAR):
```
Cr5Re24
1.0
-1.958 -5.599 5.694
-2.738 -2.486 -7.344
8.170 0.886 -0.277
Re Cr
24 5
direct
0.807 0.807 0.182
0.315 0.315 0.718
0.193 0.375 0.000
0.000 0.375 0.193
0.597 0.282 0.597
0.685 0.000 0.403
0.193 0.000 0.375
0.818 0.625 0.625
0.315 0.718 0.315
0.375 0.193 0.000
0.685 0.403 0.000
0.625 0.818 0.625
0.282 0.597 0.597
0.182 0.807 0.807
0.718 0.315 0.315
0.000 0.685 0.403
0.403 0.685 0.000
0.807 0.182 0.807
0.597 0.597 0.282
0.403 0.000 0.685
0.000 0.403 0.685
0.625 0.625 0.818
0.000 0.193 0.375
0.375 0.000 0.193
0.000 0.000 0.643
0.000 0.000 0.000
0.000 0.643 0.000
0.357 0.357 0.357
0.643 0.000 0.000
```

## Properties
For the energy relative to the elements, the calculation gives 3.41 eV/f.u. For the total magnetization, the calculation gives 11.45 Bohr magnetons per cell. Its density of states at the Fermi level is 0.866 states/eV per atom. For the total DFT energy (no corrections), the calculation gives -367.8 eV per formula unit.


## Cr5Re (GGA-PBEsol)

Data for Cr5Re after structural relaxation.

Structure (POSCAR):
```
Cr5Re
1.0
-2.015 -1.568 1.302
4.198 -2.049 0.874
-0.735 4.163 3.877
Cr Re
5 1
direct
0.170 0.340 0.842
0.500 0.000 0.000
0.830 0.660 0.158
0.169 0.339 0.327
0.831 0.661 0.673
0.500 0.000 0.500
```

## Properties
For the energy relative to the elements, the calculation gives 0.11 eV/f.u. For the total magnetization, the calculation gives 0.00 Bohr magnetons per cell. The calculation puts the polymorph energy (0 for the lowest one) at 0 meV per atom. Its density of states at the Fermi level is 0.827 states/eV per atom. For the total DFT energy (no corrections), the calculation gives -64.4 eV per formula unit.


## Cr7Re8 (GGA-PBEsol)

Data for Cr7Re8 after structural relaxation.

Structure (POSCAR):
```
Cr7Re8
1.0
-4.412 1.073 1.840
1.370 -5.844 6.692
3.660 6.541 4.963
Re Cr
16 14
direct
0.000 0.862 0.465
0.000 0.138 0.535
0.500 0.362 0.035
0.251 0.185 0.815
0.249 0.685 0.685
0.500 0.965 0.638
0.749 0.185 0.815
0.751 0.685 0.685
0.500 0.638 0.965
0.000 0.535 0.138
0.500 0.035 0.362
0.249 0.315 0.315
0.000 0.465 0.862
0.751 0.315 0.315
0.749 0.815 0.185
0.251 0.815 0.185
0.000 0.065 0.250
0.000 0.593 0.407
0.000 0.750 0.935
0.500 0.565 0.250
0.500 0.093 0.093
0.000 0.000 0.000
0.500 0.250 0.565
0.500 0.500 0.500
0.500 0.750 0.435
0.500 0.907 0.907
0.000 0.407 0.593
0.000 0.250 0.065
0.500 0.435 0.750
0.000 0.935 0.750
```

## Properties
For the energy relative to the elements, the calculation gives 0.63 eV/f.u. For the total magnetization, the calculation gives 0.00 Bohr magnetons per cell. Its density of states at the Fermi level is 0.873 states/eV per atom. For the total DFT energy (no corrections), the calculation gives -177.7 eV per formula unit.


## CrRe2 (GGA-PBEsol)

Data for CrRe2 after structural relaxation.

Structure (POSCAR):
```
CrRe2
1.0
-0.069 -2.217 1.939
-0.804 -2.533 -2.924
3.867 -0.597 -0.546
Re Cr
2 1
direct
0.500 0.000 0.500
0.500 0.500 0.000
0.000 0.000 0.000
```

## Properties
For the energy relative to the elements, the calculation gives 2.79 eV/f.u. For the total magnetization, the calculation gives 0.00 Bohr magnetons per cell. Its density of states at the Fermi level is 1.085 states/eV per atom. For the total DFT energy (no corrections), the calculation gives -34.1 eV per formula unit.